KCuNi2 after structural relaxation, computed with PBEsol.

a b c (Å): 2.6530 3.3020 7.3092
angles (deg): 90.00 90.00 90.00
Closest atoms and distances in Å follow each position.
Space group Pmm2 (No. 25)
Inequivalent atoms, fractional coordinates:
K  0.0000  0.0000  0.0000 x1  2 K 2.65
Cu  0.5000  0.5000  0.6560 x1  5 Ni 2.38-2.48, 2 Cu 2.65
Ni  0.0000  0.0000  0.4804 x1  6 Ni 2.38-2.65, 4 Cu 2.48
Ni  0.5000  0.5000  0.3305 x1  1 Cu 2.38, 6 Ni 2.38-2.65

Results
Formation enthalpy at 0 K = 503 meV/atom
Total magnetic moment = 0.8 μB/cell



MnInPb after structural relaxation, computed with PBEsol.

a b c (Å): 6.8122 6.8122 6.8122
angles (deg): 90.00 90.00 90.00
Closest atoms and distances in Å follow each position.
Space group F-43m (No. 216)
Inequivalent atoms, fractional coordinates:
Mn  0.0000  0.0000  0.0000 x4  4 Pb 2.95
In  0.0000  0.0000  0.5000 x4  4 Pb 2.95
Pb  0.2500  0.2500  0.2500 x4  4 Mn 2.95, 4 In 2.95

Results
Formation enthalpy at 0 K = 718 meV/atom
Total magnetic moment = 16.9 μB/cell



Which of these has the highest total magnetic moment? MnInPb